The following is a DFT calculation (GGA+U) of a relaxed structure of Na9Ni7O16.

Cell and atoms, written as CIF:
```
data_Na9Ni7O16
_symmetry_space_group_name_H-M 'P -1'
_symmetry_Int_Tables_number 2
_cell_length_a 6.9581
_cell_length_b 7.0313
_cell_length_c 7.9593
_cell_angle_alpha 65.54
_cell_angle_beta 76.97
_cell_angle_gamma 69.20
loop_
_symmetry_equiv_pos_as_xyz
'x,y,z'
'-x,-y,-z'
loop_
_atom_site_label
_atom_site_fract_x
_atom_site_fract_y
_atom_site_fract_z
Na1 0.0000 0.0000 0.0000
Na2 0.0559 0.4297 0.6906
Na3 0.1868 0.2978 0.0671
Na4 0.3124 0.1857 0.4311
Na5 0.4228 0.0604 0.8135
Ni1 0.1262 0.8668 0.3826
Ni2 0.2516 0.7440 0.7495
Ni3 0.3780 0.6169 0.1305
Ni4 0.5000 0.5000 0.5000
O1 0.0081 0.7956 0.6429
O2 0.1435 0.0512 0.7089
O3 0.1437 0.6561 0.0062
O4 0.2460 0.5381 0.4053
O5 0.2813 0.9139 0.1366
O6 0.3660 0.4403 0.7713
O7 0.3741 0.8103 0.4939
O8 0.4991 0.3084 0.1524
```

Calculated values
Final energy (eV per cell): -142.87